A geometry-optimized MgPaMoO6 structure, computed with GGA+U.

```
MgPaMoO6
1.0
5.504 0.000 0.000
-2.752 4.766 0.000
0.000 0.000 8.957
Mg Pa Mo O
2 2 2 12
Cartesian
0.000 0.000 0.000
0.000 0.000 4.478
0.000 3.178 2.239
2.752 1.589 6.717
0.000 3.178 6.717
2.752 1.589 2.239
-0.844 1.696 5.653
-1.705 3.187 7.782
0.844 1.696 7.782
-0.860 4.649 5.653
1.891 0.117 1.174
1.047 1.580 3.304
1.705 3.187 5.653
0.860 4.649 7.782
3.612 0.117 3.304
1.907 3.070 1.174
4.457 1.580 1.174
3.596 3.070 3.304
```

Summary:
Size of the total moment: 0.111 μB per atom
Space-group type: P-31c
VASP energy: -7.82 eV per atom